Record 1
## MgInPt (SCAN)

Data for a PBEsol-optimized structure of MgInPt.

a b c (Å): 3.4657 3.4657 8.8183
angles (deg): 90.00 90.00 90.00
Space group I4mm (No. 107)
Unique sites:
1 Mg 0.0000 0.0000 0.0000 [2 per cell]
2 In 0.0000 0.0000 0.3173 [2 per cell]
3 Pt 0.0000 0.0000 0.6504 [2 per cell]

Output
* ρ: 10.5 g/cm³
* DOS at the Fermi energy: 1.7 states/eV/cell
* ΔE_f: -642 meV per atom
* total magnetic moment: 0.0000 μB per atom

Record 2
## MgInPt2 (SCAN)

Data for a PBEsol-optimized structure of MgInPt2.

a b c (Å): 4.1516 4.1516 3.7783
angles (deg): 90.00 90.00 90.00
Space group P4/mmm (No. 123)
Unique sites:
1 Mg 0.0000 0.0000 0.0000 [1 per cell]
2 In 0.5000 0.5000 0.0000 [1 per cell]
3 Pt 0.0000 0.5000 0.5000 [2 per cell]

Output
* ρ: 13.5 g/cm³
* DOS at the Fermi energy: 0.8 states/eV/cell
* ΔE_f: -788 meV per atom
* total magnetic moment: 0.0000 μB per atom

Record 3
## MgInPt2 (SCAN)

Data for a PBEsol-optimized structure of MgInPt2.

a b c (Å): 2.9697 2.9697 7.4142
angles (deg): 90.00 90.00 90.00
Space group P4/mmm (No. 123)
Unique sites:
1 Mg 0.0000 0.0000 0.0000 [1 per cell]
2 In 0.0000 0.0000 0.5000 [1 per cell]
3 Pt 0.5000 0.5000 0.2434 [2 per cell]

Output
* ρ: 13.4 g/cm³
* DOS at the Fermi energy: 0.9 states/eV/cell
* ΔE_f: -722 meV per atom
* total magnetic moment: 0.0000 μB per atom

Record 4
## MgInPt2 (SCAN)

Data for a PBEsol-optimized structure of MgInPt2.

a b c (Å): 3.8992 3.8992 8.6542
angles (deg): 90.00 90.00 90.00
Space group I-4m2 (No. 119)
Unique sites:
1 Mg 0.0000 0.0000 0.0000 [2 per cell]
2 In 0.0000 0.5000 0.7500 [2 per cell]
3 Pt 0.0000 0.0000 0.5000 [2 per cell]
4 Pt 0.0000 0.5000 0.2500 [2 per cell]

Output
* ρ: 13.4 g/cm³
* DOS at the Fermi energy: 2.5 states/eV/cell
* ΔE_f: -685 meV per atom
* total magnetic moment: 0.0000 μB per atom

Record 5
## Mg2InPt (SCAN)

Data for a PBEsol-optimized structure of Mg2InPt.

a b c (Å): 3.0678 3.2145 7.5966
angles (deg): 90.00 90.00 90.00
Space group Pmmm (No. 47)
Unique sites:
1 Mg 0.0000 0.0000 0.2055 [2 per cell]
2 In 0.5000 0.5000 0.5000 [1 per cell]
3 Pt 0.5000 0.5000 0.0000 [1 per cell]

Output
* ρ: 7.9 g/cm³
* DOS at the Fermi energy: 1.1 states/eV/cell
* ΔE_f: -636 meV per atom
* total magnetic moment: 0.0000 μB per atom

Record 6
## MgSc2InPt (SCAN)

Data for a PBEsol-optimized structure of MgSc2InPt.

a b c (Å): 5.0481 5.0481 5.0864
angles (deg): 90.00 90.00 90.00
Space group P4/mmm (No. 123)
Unique sites:
1 Mg 0.0000 0.0000 0.0000 [1 per cell]
2 Sc 0.0000 0.5000 0.5000 [2 per cell]
3 In 0.5000 0.5000 0.0000 [1 per cell]
4 Pt 0.5000 0.5000 0.5000 [1 per cell]

Output
* ρ: 5.4 g/cm³
* DOS at the Fermi energy: 4.9 states/eV/cell
* ΔE_f: -371 meV per atom
* total magnetic moment: 0.0000 μB per atom

Record 7
## MgIn2Re (SCAN)

Data for a PBEsol-optimized structure of MgIn2Re.

a b c (Å): 4.0478 4.0478 8.9382
angles (deg): 90.00 90.00 90.00
Space group I-4m2 (No. 119)
Unique sites:
1 Mg 0.0000 0.0000 0.0000 [2 per cell]
2 In 0.0000 0.0000 0.5000 [2 per cell]
3 In 0.0000 0.5000 0.7500 [2 per cell]
4 Re 0.0000 0.5000 0.2500 [2 per cell]

Output
* ρ: 10.0 g/cm³
* DOS at the Fermi energy: 1.1 states/eV/cell
* ΔE_f: 259 meV per atom
* total magnetic moment: 0.2371 μB per atom

Record 8
## MgIn2Re (SCAN)

Data for a PBEsol-optimized structure of MgIn2Re.

a b c (Å): 2.9725 2.9725 8.7433
angles (deg): 90.00 90.00 90.00
Space group P4/mmm (No. 123)
Unique sites:
1 Mg 0.0000 0.0000 0.0000 [1 per cell]
2 In 0.5000 0.5000 0.2736 [2 per cell]
3 Re 0.0000 0.0000 0.5000 [1 per cell]

Output
* ρ: 9.5 g/cm³
* DOS at the Fermi energy: 2.3 states/eV/cell
* ΔE_f: 390 meV per atom
* total magnetic moment: 0.2148 μB per atom

Record 9
## MgIn2Re (SCAN)

Data for a PBEsol-optimized structure of MgIn2Re.

a b c (Å): 4.4898 4.4898 3.6348
angles (deg): 90.00 90.00 90.00
Space group P4/mmm (No. 123)
Unique sites:
1 Mg 0.0000 0.0000 0.0000 [1 per cell]
2 In 0.0000 0.5000 0.5000 [2 per cell]
3 Re 0.5000 0.5000 0.0000 [1 per cell]

Output
* ρ: 10.0 g/cm³
* DOS at the Fermi energy: 2.0 states/eV/cell
* ΔE_f: 431 meV per atom
* total magnetic moment: 0.0000 μB per atom

Record 10
## MgIn2Re (SCAN)

Data for a PBEsol-optimized structure of MgIn2Re.

a b c (Å): 5.8572 8.5707 2.9231
angles (deg): 90.00 90.00 90.00
Space group Cmmm (No. 65)
Unique sites:
1 Mg 0.0000 0.0000 0.0000 [2 per cell]
2 In 0.2500 0.2500 0.5000 [4 per cell]
3 Re 0.0000 0.5000 0.0000 [2 per cell]

Output
* ρ: 10.0 g/cm³
* DOS at the Fermi energy: 5.2 states/eV/cell
* ΔE_f: 418 meV per atom
* total magnetic moment: 0.0000 μB per atom

Record 11
## MgIn2Re (SCAN)

Data for a PBEsol-optimized structure of MgIn2Re.

a b c (Å): 10.4229 2.8863 5.0350
angles (deg): 90.00 97.42 90.00
Space group Cm (No. 8)
Unique sites:
1 Mg 0.0000 0.0000 0.0000 [2 per cell]
2 In 0.0319 0.5000 0.5285 [2 per cell]
3 In 0.2622 0.5000 0.2406 [2 per cell]
4 Re 0.2747 0.0000 0.7495 [2 per cell]

Output
* ρ: 9.7 g/cm³
* DOS at the Fermi energy: 4.6 states/eV/cell
* ΔE_f: 344 meV per atom
* total magnetic moment: 0.0000 μB per atom

Record 12
## MgInRh3 (SCAN)

Data for a PBEsol-optimized structure of MgInRh3.

a b c (Å): 4.4469 4.4469 4.4469
angles (deg): 90.00 90.00 90.00
Space group Pm-3m (No. 221)
Unique sites:
1 Mg 0.0000 0.0000 0.0000 [1 per cell]
2 In 0.5000 0.5000 0.5000 [1 per cell]
3 Rh 0.0000 0.0000 0.5000 [3 per cell]

Output
* ρ: 8.5 g/cm³
* DOS at the Fermi energy: 5.9 states/eV/cell
* ΔE_f: 763 meV per atom
* total magnetic moment: 0.0009 μB per atom

Record 13
## Mg2InRh2 (SCAN)

Data for a PBEsol-optimized structure of Mg2InRh2.

a b c (Å): 6.6736 6.6736 3.9550
angles (deg): 90.00 90.00 90.00
Space group P4/mbm (No. 127)
Unique sites:
1 Mg 0.1599 0.3401 0.0000 [4 per cell]
2 In 0.0000 0.0000 0.5000 [2 per cell]
3 Rh 0.1372 0.6372 0.5000 [4 per cell]

Output
* ρ: 7.0 g/cm³
* DOS at the Fermi energy: 2.8 states/eV/cell
* ΔE_f: -511 meV per atom
* total magnetic moment: 0.0000 μB per atom

Record 14
## MgInRh2 (SCAN)

Data for a PBEsol-optimized structure of MgInRh2.

a b c (Å): 8.6512 2.9596 5.0620
angles (deg): 90.00 101.52 90.00
Space group C2/m (No. 12)
Unique sites:
1 Mg 0.0000 0.0000 0.0000 [2 per cell]
2 In 0.0000 0.5000 0.5000 [2 per cell]
3 Rh 0.2498 0.0000 0.7577 [4 per cell]

Output
* ρ: 9.0 g/cm³
* DOS at the Fermi energy: 4.9 states/eV/cell
* ΔE_f: -292 meV per atom
* total magnetic moment: 0.0000 μB per atom

Record 15
## MgInRh2 (SCAN)

Data for a PBEsol-optimized structure of MgInRh2.

a b c (Å): 3.0956 4.3857 9.3649
angles (deg): 90.00 90.00 90.00
Space group Imm2 (No. 44)
Unique sites:
1 Mg 0.0000 0.0000 0.0000 [2 per cell]
2 In 0.0000 0.5000 0.2266 [2 per cell]
3 Rh 0.0000 0.0000 0.4821 [2 per cell]
4 Rh 0.0000 0.5000 0.7436 [2 per cell]

Output
* ρ: 9.0 g/cm³
* DOS at the Fermi energy: 8.5 states/eV/cell
* ΔE_f: -355 meV per atom
* total magnetic moment: 0.0012 μB per atom

Record 16
## MgInRh2 (SCAN)

Data for a PBEsol-optimized structure of MgInRh2.

a b c (Å): 6.2713 6.2713 6.2713
angles (deg): 90.00 90.00 90.00
Space group Fm-3m (No. 225)
Unique sites:
1 Mg 0.0000 0.0000 0.0000 [4 per cell]
2 In 0.0000 0.0000 0.5000 [4 per cell]
3 Rh 0.2500 0.2500 0.2500 [8 per cell]

Output
* ρ: 9.3 g/cm³
* DOS at the Fermi energy: 5.1 states/eV/cell
* ΔE_f: -603 meV per atom
* total magnetic moment: 0.0000 μB per atom

Record 17
## MgInRh2 (SCAN)

Data for a PBEsol-optimized structure of MgInRh2.

a b c (Å): 2.9308 2.9308 26.7745
angles (deg): 90.00 90.00 120.00
Space group R3m (No. 160, hexagonal axes)
Unique sites:
1 Mg 0.0000 0.0000 0.0000 [3 per cell]
2 In 0.0000 0.0000 0.2345 [3 per cell]
3 Rh 0.0000 0.0000 0.4869 [3 per cell]
4 Rh 0.0000 0.0000 0.7434 [3 per cell]

Output
* ρ: 8.6 g/cm³
* DOS at the Fermi energy: 10.6 states/eV/cell
* ΔE_f: -12 meV per atom
* total magnetic moment: 0.0003 μB per atom

Record 18
## MgInRu3 (SCAN)

Data for a PBEsol-optimized structure of MgInRu3.

a b c (Å): 4.8217 4.8217 4.8217
angles (deg): 90.00 90.00 90.00
Space group Pm-3m (No. 221)
Unique sites:
1 Mg 0.0000 0.0000 0.0000 [1 per cell]
2 In 0.5000 0.5000 0.5000 [1 per cell]
3 Ru 0.0000 0.5000 0.5000 [3 per cell]

Output
* ρ: 6.6 g/cm³
* DOS at the Fermi energy: 3.7 states/eV/cell
* ΔE_f: 1792 meV per atom
* total magnetic moment: 0.9894 μB per atom

Record 19
## MgInRu2 (SCAN)

Data for a PBEsol-optimized structure of MgInRu2.

a b c (Å): 3.0432 4.4696 9.3392
angles (deg): 90.00 90.00 90.00
Space group Imm2 (No. 44)
Unique sites:
1 Mg 0.0000 0.0000 0.0000 [2 per cell]
2 In 0.0000 0.5000 0.2252 [2 per cell]
3 Ru 0.0000 0.0000 0.4736 [2 per cell]
4 Ru 0.0000 0.5000 0.7499 [2 per cell]

Output
* ρ: 8.9 g/cm³
* DOS at the Fermi energy: 6.8 states/eV/cell
* ΔE_f: 48 meV per atom
* total magnetic moment: 0.0002 μB per atom

Record 20
## MgInS3 (SCAN)

Data for a PBEsol-optimized structure of MgInS3.

a b c (Å): 4.9349 4.9349 4.9349
angles (deg): 90.00 90.00 90.00
Space group Pm-3m (No. 221)
Unique sites:
1 Mg 0.0000 0.0000 0.0000 [1 per cell]
2 In 0.5000 0.5000 0.5000 [1 per cell]
3 S 0.0000 0.5000 0.5000 [3 per cell]

Output
* ρ: 3.3 g/cm³
* DOS at the Fermi energy: 3.8 states/eV/cell
* formation energy from raw total energies: 0.02 eV per atom
* total magnetic moment: 0.0000 μB per atom

Record 21
## MgTiInS4 (SCAN)

Data for a PBEsol-optimized structure of MgTiInS4.

a b c (Å): 7.1741 7.5015 10.8226
angles (deg): 90.00 90.00 90.00
Space group Imma (No. 74)
Unique sites:
1 Mg 0.0000 0.2500 0.1268 [4 per cell]
2 Ti 0.2500 0.2500 0.7500 [4 per cell]
3 In 0.0000 0.0000 0.5000 [4 per cell]
4 S 0.0000 0.0201 0.7444 [8 per cell]
5 S 0.2485 0.2500 0.5245 [8 per cell]

Output
* ρ: 3.6 g/cm³
* DOS at the Fermi energy: 7.7 states/eV/cell
* formation energy from raw total energies: -1.25 eV per atom
* total magnetic moment: 0.1426 μB per atom

Record 22
## Mg2VIn3S8 (SCAN)

Data for a PBEsol-optimized structure of Mg2VIn3S8.

a b c (Å): 7.5232 7.5232 18.2813
angles (deg): 90.00 90.00 120.00
Space group R-3m (No. 166, hexagonal axes)
Unique sites:
1 Mg 0.0000 0.0000 0.1241 [6 per cell]
2 V 0.0000 0.0000 0.5000 [3 per cell]
3 In 0.0000 0.5000 0.0000 [9 per cell]
4 S 0.0000 0.0000 0.2572 [6 per cell]
5 S 0.0310 0.5155 0.2459 [18 per cell]

Output
* ρ: 3.9 g/cm³
* DOS at the Fermi energy: 18.6 states/eV/cell
* formation energy from raw total energies: -1.04 eV per atom
* total magnetic moment: 0.1429 μB per atom

Record 23
## MgIn2Sb (SCAN)

Data for a PBEsol-optimized structure of MgIn2Sb.

a b c (Å): 3.4000 3.4000 8.5296
angles (deg): 90.00 90.00 90.00
Space group P4/mmm (No. 123)
Unique sites:
1 Mg 0.0000 0.0000 0.0000 [1 per cell]
2 In 0.5000 0.5000 0.2376 [2 per cell]
3 Sb 0.0000 0.0000 0.5000 [1 per cell]

Output
* ρ: 6.3 g/cm³
* DOS at the Fermi energy: 1.7 states/eV/cell
* energy relative to the lowest polymorph listed for this composition: 0.0911 eV per atom
* formation energy from raw total energies: 0.01 eV per atom
* total magnetic moment: 0.0000 μB per atom

Record 24
## MgIn2Sb (SCAN)

Data for a PBEsol-optimized structure of MgIn2Sb.

a b c (Å): 4.3132 4.3358 5.3411
angles (deg): 90.00 90.00 90.00
Space group Pmmm (No. 47)
Unique sites:
1 Mg 0.0000 0.0000 0.0000 [1 per cell]
2 In 0.0000 0.5000 0.5000 [1 per cell]
3 In 0.5000 0.0000 0.5000 [1 per cell]
4 Sb 0.5000 0.5000 0.0000 [1 per cell]

Output
* ρ: 6.2 g/cm³
* DOS at the Fermi energy: 1.6 states/eV/cell
* energy relative to the lowest polymorph listed for this composition: 0.0304 eV per atom
* formation energy from raw total energies: -0.05 eV per atom
* total magnetic moment: 0.0001 μB per atom

Record 25
## MgIn2Sb (SCAN)

Data for a PBEsol-optimized structure of MgIn2Sb.

a b c (Å): 4.0313 4.3142 11.7755
angles (deg): 90.00 90.00 90.00
Space group Immm (No. 71)
Unique sites:
1 Mg 0.0000 0.0000 0.0000 [2 per cell]
2 In 0.0000 0.5000 0.2090 [4 per cell]
3 Sb 0.0000 0.0000 0.5000 [2 per cell]

Output
* ρ: 6.1 g/cm³
* DOS at the Fermi energy: 2.3 states/eV/cell
* energy relative to the lowest polymorph listed for this composition: 0.0000 eV per atom
* formation energy from raw total energies: -0.08 eV per atom
* total magnetic moment: 0.0000 μB per atom

Record 26
## MgIn2Sb (SCAN)

Data for a PBEsol-optimized structure of MgIn2Sb.

a b c (Å): 7.4163 7.4163 7.4163
angles (deg): 90.00 90.00 90.00
Space group Fm-3m (No. 225)
Unique sites:
1 Mg 0.0000 0.0000 0.0000 [4 per cell]
2 In 0.2500 0.2500 0.2500 [8 per cell]
3 Sb 0.0000 0.0000 0.5000 [4 per cell]

Output
* ρ: 6.1 g/cm³
* DOS at the Fermi energy: 6.9 states/eV/cell
* energy relative to the lowest polymorph listed for this composition: 0.1484 eV per atom
* formation energy from raw total energies: 0.07 eV per atom
* total magnetic moment: 0.0000 μB per atom

Record 27
## MgScIn (SCAN)

Data for a PBEsol-optimized structure of MgScIn.

a b c (Å): 3.2668 3.2668 7.5371
angles (deg): 90.00 90.00 120.00
Space group P3m1 (No. 156)
Unique sites:
1 Mg 0.0000 0.0000 0.0000 [1 per cell]
2 Sc 0.3333 0.6667 0.6537 [1 per cell]
3 In 0.6667 0.3333 0.3292 [1 per cell]

Output
* ρ: 4.4 g/cm³
* DOS at the Fermi energy: 2.6 states/eV/cell
* ΔE_f: -119 meV per atom
* total magnetic moment: 0.0000 μB per atom

Record 28
## MgScIn (SCAN)

Data for a PBEsol-optimized structure of MgScIn.

a b c (Å): 4.8173 4.8173 3.2722
angles (deg): 90.00 90.00 120.00
Space group P-6m2 (No. 187)
Unique sites:
1 Mg 0.0000 0.0000 0.0000 [1 per cell]
2 Sc 0.3333 0.6667 0.5000 [1 per cell]
3 In 0.6667 0.3333 0.0000 [1 per cell]

Output
* ρ: 4.6 g/cm³
* DOS at the Fermi energy: 2.1 states/eV/cell
* ΔE_f: -371 meV per atom
* total magnetic moment: 0.0227 μB per atom

Record 29
## MgScIn (SCAN)

Data for a PBEsol-optimized structure of MgScIn.

a b c (Å): 3.2268 3.2268 12.7460
angles (deg): 90.00 90.00 90.00
Space group I4mm (No. 107)
Unique sites:
1 Mg 0.0000 0.0000 0.0000 [2 per cell]
2 Sc 0.0000 0.0000 0.3222 [2 per cell]
3 In 0.0000 0.0000 0.6625 [2 per cell]

Output
* ρ: 4.6 g/cm³
* DOS at the Fermi energy: 2.3 states/eV/cell
* ΔE_f: -305 meV per atom
* total magnetic moment: 0.1748 μB per atom

Raw total energy values, unit eV/atom, following the record order: -36.827; -45.475; -45.409; -45.372; -29.018; -27.776; -35.452; -35.321; -35.280; -35.293; -35.367; -27.172; -22.686; -26.768; -26.831; -27.079; -26.488; -26.776; -26.955; -13.431; -14.518; -15.651; -27.239; -27.300; -27.330; -27.182; -17.651; -17.903; -17.838.